Entry 1:
An optimized crystal structure of TaOsSeBr2, computed with GGA-PBEsol.

- symmetry = No. 123
- raw total energy (eV per cell) = -25.99

abc: 5.020 5.020 4.960
angles: 90.00 90.00 90.00
Atoms (fractional coordinates):
1 Ta 0.000 0.000 0.000
2 Os 0.500 0.500 0.500
3 Se 0.000 0.000 0.500
4 Br 0.000 0.500 0.000
5 Br 0.500 0.000 0.000

***

Entry 2:
An optimized crystal structure of YScSeBr2, computed with GGA-PBEsol.

- symmetry = No. 123
- raw total energy (eV per cell) = -25.79

abc: 5.051 5.051 5.200
angles: 90.00 90.00 90.00
Atoms (fractional coordinates):
1 Y 0.000 0.000 0.000
2 Sc 0.500 0.500 0.500
3 Se 0.500 0.500 0.000
4 Br 0.000 0.500 0.500
5 Br 0.500 0.000 0.500

***

Entry 3:
An optimized crystal structure of Sr3Ga2N4, computed with GGA-PBEsol.

- symmetry = No. 52
- raw total energy (eV per cell) = -212.15

abc: 5.919 10.229 9.468
angles: 90.00 90.00 90.00
Atoms (fractional coordinates):
1 Sr 0.108 0.154 0.088
2 Sr 0.108 0.346 0.412
3 Sr 0.250 0.000 0.404
4 Sr 0.250 0.500 0.096
5 Sr 0.392 0.654 0.412
6 Sr 0.392 0.846 0.088
7 Sr 0.608 0.154 0.912
8 Sr 0.608 0.346 0.588
9 Sr 0.750 0.000 0.596
10 Sr 0.750 0.500 0.904
11 Sr 0.892 0.654 0.588
12 Sr 0.892 0.846 0.912
13 Ga 0.159 0.250 0.750
14 Ga 0.250 0.000 0.730
15 Ga 0.250 0.500 0.770
16 Ga 0.341 0.750 0.750
17 Ga 0.659 0.250 0.250
18 Ga 0.750 0.000 0.270
19 Ga 0.750 0.500 0.230
20 Ga 0.841 0.750 0.250
21 N 0.006 0.095 0.832
22 N 0.006 0.405 0.668
23 N 0.124 0.647 0.876
24 N 0.124 0.853 0.624
25 N 0.376 0.147 0.624
26 N 0.376 0.353 0.876
27 N 0.494 0.595 0.668
28 N 0.494 0.905 0.832
29 N 0.506 0.095 0.168
30 N 0.506 0.405 0.332
31 N 0.624 0.647 0.124
32 N 0.624 0.853 0.376
33 N 0.876 0.147 0.376
34 N 0.876 0.353 0.124
35 N 0.994 0.595 0.332
36 N 0.994 0.905 0.168

***

Entry 4:
An optimized crystal structure of KTa2Rh, computed with GGA-PBEsol.

- symmetry = No. 216
- energy relative to the lowest polymorph listed for this composition (meV/atom) = 643
- formation enthalpy at 0 K (eV per atom) = 1.231
- raw total energy (eV per cell) = -29.45

abc: 4.700 4.700 4.700
angles: 60.00 60.00 60.00
Atoms (fractional coordinates):
1 K 0.000 0.000 0.000
2 Ta 0.250 0.250 0.250
3 Ta 0.500 0.500 0.500
4 Rh 0.750 0.750 0.750

***

Entry 5:
An optimized crystal structure of BeH3Pd, computed with GGA-PBEsol.

- symmetry = No. 221
- energy relative to the lowest polymorph listed for this composition (meV/atom) = 0
- raw total energy (eV per cell) = -17.72

abc: 3.422 3.422 3.422
angles: 90.00 90.00 90.00
Atoms (fractional coordinates):
1 Be 0.000 0.000 0.000
2 H 0.000 0.500 0.500
3 H 0.500 0.000 0.500
4 H 0.500 0.500 0.000
5 Pd 0.500 0.500 0.500

***

Entry 6:
An optimized crystal structure of KGaP2O7, computed with GGA-PBEsol.

- symmetry = No. 14
- raw total energy (eV per cell) = -309.43

abc: 7.333 9.879 8.201
angles: 90.00 106.96 90.00
Atoms (fractional coordinates):
1 K 0.174 0.178 0.055
2 K 0.174 0.322 0.555
3 K 0.826 0.678 0.445
4 K 0.826 0.822 0.945
5 Ga 0.238 0.600 0.261
6 Ga 0.238 0.900 0.761
7 Ga 0.762 0.100 0.239
8 Ga 0.762 0.400 0.739
9 P 0.131 0.597 0.831
10 P 0.131 0.903 0.331
11 P 0.441 0.636 0.692
12 P 0.441 0.864 0.192
13 P 0.559 0.136 0.808
14 P 0.559 0.364 0.308
15 P 0.869 0.097 0.669
16 P 0.869 0.403 0.169
17 O 0.006 0.506 0.280
18 O 0.006 0.994 0.780
19 O 0.080 0.737 0.752
20 O 0.080 0.763 0.252
21 O 0.141 0.592 0.016
22 O 0.141 0.908 0.516
23 O 0.318 0.605 0.512
24 O 0.318 0.895 0.012
25 O 0.339 0.557 0.816
26 O 0.339 0.943 0.316
27 O 0.357 0.078 0.764
28 O 0.357 0.422 0.264
29 O 0.454 0.714 0.244
30 O 0.454 0.786 0.744
31 O 0.546 0.214 0.256
32 O 0.546 0.286 0.756
33 O 0.643 0.578 0.736
34 O 0.643 0.922 0.236
35 O 0.661 0.057 0.684
36 O 0.661 0.443 0.184
37 O 0.682 0.105 0.988
38 O 0.682 0.395 0.488
39 O 0.859 0.092 0.484
40 O 0.859 0.408 0.984
41 O 0.920 0.237 0.748
42 O 0.920 0.263 0.248
43 O 0.994 0.006 0.220
44 O 0.994 0.494 0.720

***

Entry 7:
An optimized crystal structure of Ca2MnO3, computed with GGA-PBEsol.

- symmetry = No. 139
- raw total energy (eV per cell) = -43.92

abc: 7.285 7.285 7.285
angles: 153.69 153.69 37.55
Atoms (fractional coordinates):
1 Ca 0.162 0.162 0.000
2 Ca 0.838 0.838 0.000
3 Mn 0.500 0.500 0.000
4 O 0.000 0.000 0.000
5 O 0.340 0.340 0.000
6 O 0.660 0.660 0.000

***

Entry 8:
An optimized crystal structure of SrCa4Re, computed with GGA-PBEsol.

- symmetry = No. 216
- formation enthalpy at 0 K (eV per atom) = 1.073
- raw total energy (eV per cell) = -17.27

abc: 6.513 6.513 6.513
angles: 60.00 60.00 60.00
Atoms (fractional coordinates):
1 Sr 0.000 0.000 0.000
2 Ca 0.377 0.377 0.377
3 Ca 0.377 0.377 0.869
4 Ca 0.377 0.869 0.377
5 Ca 0.869 0.377 0.377
6 Re 0.750 0.750 0.750

***

Entry 9:
An optimized crystal structure of BaNi2Sb, computed with GGA-PBEsol.

- symmetry = No. 44
- raw total energy (eV per cell) = -18.46

abc: 5.377 5.377 5.377
angles: 136.36 111.76 84.58
Atoms (fractional coordinates):
1 Ba 0.000 0.000 0.000
2 Ni 0.505 0.505 0.000
3 Ni 0.658 0.158 0.500
4 Sb 0.328 0.828 0.500

***

Entry 10:
An optimized crystal structure of CdGeBi2O6, computed with GGA-PBEsol.

- symmetry = No. 60
- raw total energy (eV per cell) = -240.00

abc: 10.499 10.070 5.619
angles: 90.00 90.00 90.00
Atoms (fractional coordinates):
1 Cd 0.000 0.111 0.250
2 Cd 0.000 0.889 0.750
3 Cd 0.500 0.389 0.750
4 Cd 0.500 0.611 0.250
5 Ge 0.000 0.349 0.750
6 Ge 0.000 0.651 0.250
7 Ge 0.500 0.151 0.250
8 Ge 0.500 0.849 0.750
9 Bi 0.242 0.388 0.213
10 Bi 0.242 0.612 0.713
11 Bi 0.258 0.112 0.713
12 Bi 0.258 0.888 0.213
13 Bi 0.742 0.112 0.787
14 Bi 0.742 0.888 0.287
15 Bi 0.758 0.388 0.287
16 Bi 0.758 0.612 0.787
17 O 0.078 0.250 0.534
18 O 0.078 0.750 0.034
19 O 0.122 0.447 0.877
20 O 0.122 0.553 0.377
21 O 0.146 0.030 0.011
22 O 0.146 0.970 0.511
23 O 0.354 0.470 0.511
24 O 0.354 0.530 0.011
25 O 0.378 0.053 0.377
26 O 0.378 0.947 0.877
27 O 0.422 0.250 0.034
28 O 0.422 0.750 0.534
29 O 0.578 0.250 0.466
30 O 0.578 0.750 0.966
31 O 0.622 0.053 0.123
32 O 0.622 0.947 0.623
33 O 0.646 0.470 0.989
34 O 0.646 0.530 0.489
35 O 0.854 0.030 0.489
36 O 0.854 0.970 0.989
37 O 0.878 0.447 0.623
38 O 0.878 0.553 0.123
39 O 0.922 0.250 0.966
40 O 0.922 0.750 0.466

***

Entry 11:
An optimized crystal structure of HfIr2OsPt, computed with GGA-PBEsol.

- symmetry = No. 123
- formation enthalpy at 0 K (eV per atom) = 2.145
- raw total energy (eV per cell) = -38.60

abc: 4.665 4.665 4.713
angles: 90.00 90.00 90.00
Atoms (fractional coordinates):
1 Hf 0.000 0.000 0.000
2 Ir 0.000 0.500 0.000
3 Ir 0.500 0.000 0.000
4 Os 0.500 0.500 0.500
5 Pt 0.000 0.000 0.500

***

Entry 12:
An optimized crystal structure of LiCuP3O9, computed with GGA-PBEsol.

- symmetry = No. 57
- energy relative to the lowest polymorph listed for this composition (meV/atom) = 0
- raw total energy (eV per cell) = -391.34

abc: 5.063 11.505 13.263
angles: 90.00 90.00 90.00
Atoms (fractional coordinates):
1 Li 0.079 0.005 0.250
2 Li 0.079 0.495 0.750
3 Li 0.921 0.505 0.250
4 Li 0.921 0.995 0.750
5 Cu 0.000 0.000 0.000
6 Cu 0.000 0.000 0.500
7 Cu 0.000 0.500 0.000
8 Cu 0.000 0.500 0.500
9 P 0.261 0.750 0.000
10 P 0.261 0.750 0.500
11 P 0.456 0.091 0.641
12 P 0.456 0.091 0.859
13 P 0.456 0.409 0.141
14 P 0.456 0.409 0.359
15 P 0.544 0.591 0.641
16 P 0.544 0.591 0.859
17 P 0.544 0.909 0.141
18 P 0.544 0.909 0.359
19 P 0.739 0.250 0.000
20 P 0.739 0.250 0.500
21 O 0.109 0.651 0.046
22 O 0.109 0.651 0.454
23 O 0.109 0.849 0.546
24 O 0.109 0.849 0.954
25 O 0.168 0.062 0.625
26 O 0.168 0.062 0.875
27 O 0.168 0.438 0.125
28 O 0.168 0.438 0.375
29 O 0.340 0.003 0.132
30 O 0.340 0.003 0.368
31 O 0.340 0.497 0.632
32 O 0.340 0.497 0.868
33 O 0.472 0.151 0.750
34 O 0.472 0.349 0.250
35 O 0.472 0.704 0.580
36 O 0.472 0.704 0.920
37 O 0.472 0.796 0.080
38 O 0.472 0.796 0.420
39 O 0.528 0.204 0.580
40 O 0.528 0.204 0.920
41 O 0.528 0.296 0.080
42 O 0.528 0.296 0.420
43 O 0.528 0.651 0.750
44 O 0.528 0.849 0.250
45 O 0.660 0.503 0.132
46 O 0.660 0.503 0.368
47 O 0.660 0.997 0.632
48 O 0.660 0.997 0.868
49 O 0.832 0.562 0.625
50 O 0.832 0.562 0.875
51 O 0.832 0.938 0.125
52 O 0.832 0.938 0.375
53 O 0.891 0.151 0.046
54 O 0.891 0.151 0.454
55 O 0.891 0.349 0.546
56 O 0.891 0.349 0.954